<w>
The following is a GGA-PBE calculation of a relaxed VGe2H crystal, from the Alexandria database.

```
VGe2H
1.0
0.0735 -3.4090 -2.6640
0.6800 -3.9691 1.5836
-3.2289 -2.8794 0.0813
H Ge V
1 2 1
Cartesian
0.0000 0.0000 0.0000
-0.6189 -2.5644 -0.2498
-1.8566 -7.6931 -0.7493
-1.2377 -5.1287 -0.4996
```

Properties
As for the mass density: 5.72 g cm⁻³. The symmetry is Fm-3m, No. 225.



<x>
The following is a GGA-PBE calculation of a relaxed VGe2H crystal, from the Alexandria database.

```
VGe2H
1.0
-2.9632 -0.0824 5.0521
-0.0517 -5.8559 -0.1258
1.0490 -3.0239 3.9617
H Ge V
2 4 2
Cartesian
-1.5074 -2.9692 2.4631
-0.2551 -5.9245 3.1495
-1.3485 -1.5326 3.7099
-0.3882 -4.4331 1.9656
-0.3481 -4.9843 4.8081
-1.8469 -6.9744 7.2923
0.0000 0.0000 0.0000
-1.7108 -3.0377 5.7384
```

Properties
As for the mass density: 6.44 g cm⁻³. The symmetry is I-42d, No. 122.



<y>
The following is a GGA-PBE calculation of a relaxed VGe2H crystal, from the Alexandria database.

```
VGe2H
1.0
2.8874 0.0000 0.0000
1.4437 2.5006 0.0000
1.4437 0.8335 7.7103
H Ge V
1 2 1
Cartesian
0.0000 0.0000 0.0000
1.4437 0.8335 5.8850
4.3311 2.5006 1.8253
2.8874 1.6670 3.8551
```

Properties
As for the mass density: 5.88 g cm⁻³. The symmetry is R-3m, No. 166.



Preferred: <y>; penalty for the next structure: 109 meV per atom.



<w>
The following is a GGA-PBE calculation of a relaxed VGeH3 crystal, from the Alexandria database.

```
VGeH3
1.0
3.4573 0.0000 0.0000
0.0000 3.4573 0.0000
0.0000 0.0000 3.4573
H Ge V
3 1 1
Cartesian
0.0000 1.7287 0.0000
0.0000 0.0000 1.7287
1.7287 0.0000 0.0000
1.7287 1.7287 1.7287
0.0000 0.0000 0.0000
```

Properties
As for the mass density: 5.09 g cm⁻³. The symmetry is Pm-3m, No. 221.



<x>
The following is a GGA-PBE calculation of a relaxed VGeH3 crystal, from the Alexandria database.

```
VGeH3
1.0
3.6525 0.0000 0.0000
0.0000 3.6525 0.0000
0.0000 0.0000 3.6525
H Ge V
3 1 1
Cartesian
0.0000 1.8263 0.0000
0.0000 0.0000 1.8263
1.8263 0.0000 0.0000
0.0000 0.0000 0.0000
1.8263 1.8263 1.8263
```

Properties
As for the mass density: 4.31 g cm⁻³. The symmetry is Pm-3m, No. 221.



Preferred: <w>; penalty for the next structure: 561 meV per atom.